CoOs2Ru (GGA-PBE, optimized geometry); theoretical density = 16.657 g cm⁻³; final energy = -9.544 eV/atom; distance to the lowest polymorph of the same formula = 0.0247 eV per atom; space-group type = Amm2
1.0
-0.950 -1.715 -3.580
1.997 -1.767 0.317
-2.083 -3.955 2.448
Co Os Ru
1 2 1
Direct
0.500 0.949 0.728
0.000 0.809 0.006
0.500 0.202 0.221
0.000 0.541 0.544